The following is a DFT calculation (GGA-PBE) of a relaxed structure of Li2MgSi.

## Properties
The energy relative to the elements, uncorrected comes out at 0.126 eV per atom. Its symmetry is I-42d, No. 122.

a b c (Å): 5.9307 5.9307 5.9307
angles (deg): 101.79 101.79 126.24
Closest atoms and distances in Å follow each position.
Element x y z (fractional)
1 Li 0.0898 0.6250 0.9648  2 Si 2.56, 2 Li 2.73
2 Li 0.3750 0.3398 0.4648  2 Si 2.56, 2 Li 2.73
3 Li 0.6602 0.1250 0.0352  2 Si 2.56, 2 Li 2.73
4 Li 0.8750 0.9102 0.5352  2 Si 2.56, 2 Li 2.73
5 Mg 0.2500 0.7500 0.5000  2 Si 2.68, 4 Li 2.92
6 Mg 0.5000 0.5000 0.0000  2 Si 2.68, 4 Li 2.92
7 Si 0.0000 0.0000 0.0000  4 Li 2.56, 2 Mg 2.68
8 Si 0.7500 0.2500 0.5000  4 Li 2.56, 2 Mg 2.68